The following is a DFT calculation (PBE) of an optimized crystal structure of BaCaSi2.

- relative energy among the computed polymorphs (meV per atom) = 715
- formation energy without anion corrections (eV/atom) = 0.272

abc: 7.541 7.541 7.541
angles: 90.00 90.00 90.00
Space group F-43m (No. 216)
Symmetry-distinct sites (fractional):
Ba (0.000, 0.000, 0.000) x4
Ca (0.250, 0.250, 0.250) x4
Si (0.000, 0.000, 0.500) x4
Si (0.250, 0.250, 0.750) x4


The following is a DFT calculation (PBE) of an optimized crystal structure of BaCaSi2.

- relative energy among the computed polymorphs (meV per atom) = 81
- formation energy without anion corrections (eV/atom) = -0.363

abc: 3.895 4.770 12.402
angles: 90.00 90.00 90.00
Space group Imm2 (No. 44)
Symmetry-distinct sites (fractional):
Ba (0.000, 0.000, 0.000) x2
Ca (0.000, 0.500, 0.241) x2
Si (0.000, 0.000, 0.393) x2
Si (0.000, 0.500, 0.773) x2


The following is a DFT calculation (PBE) of an optimized crystal structure of BaCa2Si6.

- formation energy without anion corrections (eV/atom) = -0.277

abc: 4.216 9.305 10.877
angles: 90.00 90.00 90.00
Space group Immm (No. 71)
Symmetry-distinct sites (fractional):
Ba (0.000, 0.000, 0.000) x2
Ca (0.000, 0.500, 0.158) x4
Si (0.000, 0.135, 0.500) x4
Si (0.000, 0.257, 0.314) x8


The following is a DFT calculation (PBE) of an optimized crystal structure of Ba2CaSi2.

- relative energy among the computed polymorphs (meV per atom) = 0
- formation energy without anion corrections (eV/atom) = -0.320

abc: 8.090 8.090 5.133
angles: 90.00 90.00 90.00
Space group P4/mbm (No. 127)
Symmetry-distinct sites (fractional):
Ba (0.175, 0.325, 0.000) x4
Ca (0.000, 0.000, 0.500) x2
Si (0.104, 0.604, 0.500) x4


The following is a DFT calculation (PBE) of an optimized crystal structure of BaCa3Si.

- relative energy among the computed polymorphs (meV per atom) = 1425
- formation energy without anion corrections (eV/atom) = 1.302

abc: 5.767 5.767 5.767
angles: 90.00 90.00 90.00
Space group Pm-3m (No. 221)
Symmetry-distinct sites (fractional):
Ba (0.000, 0.000, 0.000) x1
Ca (0.000, 0.000, 0.500) x3
Si (0.500, 0.500, 0.500) x1


The following is a DFT calculation (PBE) of an optimized crystal structure of BaCa3Si.

- relative energy among the computed polymorphs (meV per atom) = 0
- formation energy without anion corrections (eV/atom) = -0.123

abc: 5.880 5.880 5.880
angles: 90.00 90.00 90.00
Space group Pm-3m (No. 221)
Symmetry-distinct sites (fractional):
Ba (0.000, 0.000, 0.000) x1
Ca (0.000, 0.500, 0.500) x3
Si (0.500, 0.500, 0.500) x1


The following is a DFT calculation (PBE) of an optimized crystal structure of BaCa2Si2.

- relative energy among the computed polymorphs (meV per atom) = 46
- formation energy without anion corrections (eV/atom) = -0.332

abc: 4.924 4.924 12.418
angles: 90.00 90.00 90.00
Space group I4/mmm (No. 139)
Symmetry-distinct sites (fractional):
Ba (0.000, 0.000, 0.000) x2
Ca (0.000, 0.500, 0.250) x4
Si (0.000, 0.000, 0.403) x4


The following is a DFT calculation (PBE) of an optimized crystal structure of BaCa2Si.

- relative energy among the computed polymorphs (meV per atom) = 217
- formation energy without anion corrections (eV/atom) = 0.059

abc: 5.078 5.078 10.157
angles: 90.00 90.00 90.00
Space group I4/mmm (No. 139)
Symmetry-distinct sites (fractional):
Ba (0.000, 0.000, 0.000) x2
Ca (0.000, 0.500, 0.250) x4
Si (0.000, 0.000, 0.500) x2


Number 1: total moment 0.000 μB per cell. Number 2: total moment 0.000 μB per cell. Number 3: total moment 0.000 μB per cell. Number 4: total moment 0.642 μB per cell. Number 5: total moment 0.000 μB per cell. Number 6: total moment 0.000 μB per cell. Number 7: total moment 1.525 μB per cell. Number 8: total moment 0.002 μB per cell.